Entry from Alexandria: a relaxed ScBe2C crystal (GGA-PBE).

Geometry as POSCAR:
```
ScBe2C
1.0
-2.689 2.689 3.795
2.689 -2.689 3.795
2.689 2.689 -3.795
Sc Be C
2 4 2
direct
0.375 0.625 0.750
0.625 0.375 0.250
0.000 0.000 0.000
0.000 0.000 0.500
0.000 0.500 0.000
0.500 0.000 0.500
0.125 0.875 0.250
0.875 0.125 0.750
```

Calculated values
Magnetic moment, μB/f.u.: 0.0
Energy relative to the elements, kJ per mole of atoms: 43.5